[1]
## LaTh2OsC2 (PBE-GGA)

Data for crystalline LaTh2OsC2 at its relaxed geometry.

Energy relative to the elements (meV per atom): -164
Spin magnetization (μB per cell): 0.0

Cell lengths 3.911, 5.932, 11.281 Å; angles 90.00, 90.00, 90.00 degrees
Atoms (fractional coordinates):
C: 0.000 0.255 0.120
Th: 0.500 0.019 0.203
Th: 0.500 0.981 0.797
Os: 0.000 0.000 0.000
C: 0.500 0.245 0.620
C: 0.000 0.745 0.880
La: 0.000 0.000 0.500
Os: 0.500 0.500 0.500
C: 0.500 0.755 0.380
Th: 0.000 0.481 0.703
La: 0.500 0.500 0.000
Th: 0.000 0.519 0.297

=====

[2]
## InNi7Sb2 (PBE-GGA)

Data for crystalline InNi7Sb2 at its relaxed geometry.

E_form (uncorrected) (kJ/mol of atoms): -6.04
Spin magnetization (μB per cell): 0.0

Cell lengths 3.721, 3.721, 11.065 Å; angles 99.68, 99.68, 90.00 degrees
Atoms (fractional coordinates):
Ni: 0.750 0.250 0.500
Ni: 0.250 0.750 0.500
In: 0.000 0.000 0.000
Sb: 0.668 0.668 0.336
Ni: 0.500 0.500 0.000
Ni: 0.913 0.413 0.826
Ni: 0.087 0.587 0.174
Ni: 0.587 0.087 0.174
Sb: 0.332 0.332 0.664
Ni: 0.413 0.913 0.826

=====

[3]
## ZrOsRu (PBE-GGA)

Data for crystalline ZrOsRu at its relaxed geometry.

Energy relative to the elements (meV per atom): 752
Spin magnetization (μB per cell): 0.0

Cell lengths 4.352, 4.352, 4.352 Å; angles 60.00, 60.00, 60.00 degrees
Atoms (fractional coordinates):
Os: 0.000 0.000 0.000
Zr: 0.750 0.750 0.750
Ru: 0.500 0.500 0.500

=====

[4]
## CaTa3Ge (PBE-GGA)

Data for crystalline CaTa3Ge at its relaxed geometry.

Energy relative to the elements (meV per atom): 947
Spin magnetization (μB per cell): 0.0

Cell lengths 4.879, 4.879, 4.879 Å; angles 90.00, 90.00, 90.00 degrees
Atoms (fractional coordinates):
Ge: 0.000 0.000 0.000
Ta: 0.500 0.000 0.000
Ca: 0.500 0.500 0.500
Ta: 0.000 0.000 0.500
Ta: 0.000 0.500 0.000

=====

[5]
## ZrPd (PBE-GGA)

Data for crystalline ZrPd at its relaxed geometry.

Energy relative to the elements (meV per atom): -569
Spin magnetization (μB per cell): 0.0

Cell lengths 5.491, 5.208, 10.768 Å; angles 90.00, 90.00, 90.00 degrees
Atoms (fractional coordinates):
Zr: 0.359 0.909 0.054
Zr: 0.339 0.603 0.731
Pd: 0.630 0.910 0.528
Zr: 0.839 0.897 0.269
Zr: 0.161 0.397 0.231
Pd: 0.130 0.590 0.472
Zr: 0.141 0.091 0.554
Pd: 0.352 0.924 0.312
Zr: 0.641 0.409 0.446
Zr: 0.661 0.103 0.769
Pd: 0.148 0.076 0.812
Pd: 0.870 0.090 0.028
Pd: 0.852 0.576 0.688
Zr: 0.859 0.591 0.946
Pd: 0.370 0.410 0.972
Pd: 0.648 0.424 0.188

=====

[6]
## PuUBiSb (PBE-GGA)

Data for crystalline PuUBiSb at its relaxed geometry.

E_form (uncorrected) (kJ/mol of atoms): -22.86
Spin magnetization (μB per cell): 8.3

Cell lengths 5.352, 5.352, 5.352 Å; angles 60.00, 60.00, 60.00 degrees
Each line ends with the local moment (μB).
Atoms (fractional coordinates):
Bi: 0.500 0.500 0.500  -0.18
U: 0.250 0.250 0.250  2.45
Pu: 0.750 0.750 0.750  5.42
Sb: 0.000 0.000 0.000  -0.13

=====

[7]
## AlCdIr2 (PBE-GGA)

Data for crystalline AlCdIr2 at its relaxed geometry.

Energy relative to the elements (meV per atom): -196
Spin magnetization (μB per cell): 0.0

Cell lengths 2.826, 2.826, 8.980 Å; angles 90.00, 90.00, 117.70 degrees
Atoms (fractional coordinates):
Ir: 0.000 0.000 0.470
Ir: 0.000 0.000 0.030
Cd: 0.500 0.500 0.750
Al: 0.500 0.500 0.250

=====

[8]
## La7Pm4Ho (PBE-GGA)

Data for crystalline La7Pm4Ho at its relaxed geometry.

Energy relative to the elements (meV per atom): 201
Spin magnetization (μB per cell): 0.4

Cell lengths 6.144, 9.943, 8.873 Å; angles 60.43, 69.74, 72.00 degrees
Each line ends with the local moment (μB).
Atoms (fractional coordinates):
Pm: 0.328 0.394 0.951  0.00
Ho: 0.000 0.000 0.000  0.14
La: 0.207 0.781 0.804  0.00
La: 0.500 0.000 0.000  0.10
Pm: 0.672 0.606 0.049  0.00
La: 0.206 0.125 0.463  0.00
La: 0.918 0.434 0.730  0.01
Pm: 0.427 0.700 0.447  0.01
La: 0.794 0.875 0.537  0.00
La: 0.793 0.219 0.196  0.00
Pm: 0.573 0.300 0.553  0.01
La: 0.082 0.566 0.270  0.01

=====

[9]
## LiHfInAu (PBE-GGA)

Data for crystalline LiHfInAu at its relaxed geometry.

Energy relative to the elements (meV per atom): -316
Spin magnetization (μB per cell): 0.0

Cell lengths 4.760, 4.760, 4.760 Å; angles 60.00, 60.00, 60.00 degrees
Atoms (fractional coordinates):
Li: 0.000 0.000 0.000
Hf: 0.500 0.500 0.500
Au: 0.250 0.250 0.250
In: 0.750 0.750 0.750

=====

[10]
## Sr2PmHfO6 (PBE-GGA)

Data for crystalline Sr2PmHfO6 at its relaxed geometry.

E_form (uncorrected) (kJ/mol of atoms): -290.57
Spin magnetization (μB per cell): 2.2

Cell lengths 5.960, 6.117, 8.495 Å; angles 90.00, 90.10, 90.00 degrees
Each line ends with the local moment (μB).
Atoms (fractional coordinates):
O: 0.398 0.959 0.735  0.17
Pm: 0.500 0.000 0.000  0.00
Sr: 0.985 0.046 0.748  0.00
O: 0.280 0.695 0.050  0.14
Sr: 0.485 0.454 0.248  0.00
O: 0.602 0.041 0.265  0.17
O: 0.220 0.195 0.450  0.14
O: 0.809 0.777 0.941  0.17
O: 0.191 0.223 0.059  0.17
O: 0.309 0.723 0.441  0.17
Hf: 0.000 0.500 0.000  -0.02
Pm: 0.000 0.500 0.500  0.00
O: 0.691 0.277 0.559  0.17
O: 0.720 0.305 0.950  0.14
Hf: 0.500 0.000 0.500  -0.02
O: 0.898 0.541 0.235  0.17
O: 0.780 0.805 0.550  0.14
Sr: 0.515 0.546 0.752  0.00
Sr: 0.015 0.954 0.252  0.00
O: 0.102 0.459 0.765  0.17

=====

[11]
## Zr3H3Os (PBE-GGA)

Data for crystalline Zr3H3Os at its relaxed geometry.

Spin magnetization (μB per cell): 0.0

Cell lengths 5.905, 5.905, 7.312 Å; angles 66.19, 66.19, 60.00 degrees
Atoms (fractional coordinates):
H: 0.524 0.209 0.402
H: 0.209 0.865 0.402
Zr: 0.234 0.582 0.273
Zr: 0.418 0.089 0.727
Os: 0.666 0.666 0.001
Os: 0.334 0.334 0.999
H: 0.476 0.791 0.598
Zr: 0.911 0.234 0.273
Zr: 0.089 0.766 0.727
H: 0.865 0.524 0.402
H: 0.135 0.476 0.598
H: 0.791 0.135 0.598
Zr: 0.766 0.418 0.727
Zr: 0.582 0.911 0.273

=====

[12]
## Pr6NiOs2Br3 (PBE-GGA)

Data for crystalline Pr6NiOs2Br3 at its relaxed geometry.

E_form (uncorrected) (kJ/mol of atoms): -70.44
Spin magnetization (μB per cell): 0.0

Cell lengths 7.151, 7.151, 8.270 Å; angles 98.29, 98.29, 120.00 degrees
Atoms (fractional coordinates):
Ni: 0.000 0.000 0.000
Pr: 0.934 0.597 0.803
Pr: 0.403 0.066 0.197
Pr: 0.271 0.271 0.803
Pr: 0.729 0.729 0.197
Pr: 0.597 0.934 0.803
Br: 0.169 0.831 0.500
Pr: 0.066 0.403 0.197
Os: 0.667 0.333 0.000
Br: 0.831 0.169 0.500
Br: 0.500 0.500 0.500
Os: 0.333 0.667 0.000

=====

[13]
## KIrS (PBE-GGA)

Data for crystalline KIrS at its relaxed geometry.

E_form (uncorrected) (kJ/mol of atoms): -35.31
Spin magnetization (μB per cell): 0.0

Cell lengths 4.158, 6.336, 6.667 Å; angles 107.93, 90.33, 109.11 degrees
Atoms (fractional coordinates):
Ir: 0.791 0.580 0.637
S: 0.630 0.262 0.306
K: 0.893 0.792 0.199
S: 0.370 0.738 0.694
Ir: 0.209 0.420 0.363
K: 0.107 0.208 0.801

=====

[14]
## LaDy5Er2 (PBE-GGA)

Data for crystalline LaDy5Er2 at its relaxed geometry.

Energy relative to the elements (meV per atom): 134
Spin magnetization (μB per cell): 0.0

Cell lengths 6.967, 6.967, 6.967 Å; angles 106.08, 106.07, 116.50 degrees
Atoms (fractional coordinates):
Dy: 0.778 0.278 0.000
Dy: 0.278 0.778 0.000
Er: 0.278 0.777 0.500
La: 0.778 0.779 0.000
Er: 0.777 0.278 0.500
Dy: 0.278 0.278 0.500
Dy: 0.278 0.278 0.000
Dy: 0.778 0.778 0.500

=====

[15]
## SrBeAlTl2 (PBE-GGA)

Data for crystalline SrBeAlTl2 at its relaxed geometry.

Energy relative to the elements (meV per atom): 329
Spin magnetization (μB per cell): 0.0

Cell lengths 4.893, 5.802, 4.893 Å; angles 90.00, 90.00, 90.00 degrees
Atoms (fractional coordinates):
Al: 0.500 0.500 0.500
Sr: 0.000 0.500 0.000
Tl: 0.000 0.000 0.500
Be: 0.000 0.000 0.000
Tl: 0.500 0.000 0.000

=====

[16]
## TbNd7Er4 (PBE-GGA)

Data for crystalline TbNd7Er4 at its relaxed geometry.

Energy relative to the elements (meV per atom): 214
Spin magnetization (μB per cell): 0.1

Cell lengths 6.002, 9.741, 8.619 Å; angles 61.50, 69.62, 72.06 degrees
Each line ends with the local moment (μB).
Atoms (fractional coordinates):
Er: 0.570 0.302 0.558  0.00
Er: 0.330 0.382 0.958  0.00
Nd: 0.212 0.115 0.460  0.00
Nd: 0.914 0.449 0.722  0.00
Nd: 0.787 0.239 0.187  0.00
Er: 0.430 0.698 0.442  0.00
Nd: 0.086 0.551 0.278  0.00
Nd: 0.213 0.761 0.813  0.00
Tb: 0.000 0.000 0.000  0.05
Nd: 0.788 0.885 0.540  0.00
Er: 0.670 0.618 0.042  0.00
Nd: 0.500 0.000 0.000  0.04

=====

[17]
## TlCrIn2 (PBE-GGA)

Data for crystalline TlCrIn2 at its relaxed geometry.

Energy relative to the elements (meV per atom): 318
Spin magnetization (μB per cell): 3.5

Cell lengths 7.152, 7.152, 7.152 Å; angles 154.75, 140.78, 47.22 degrees
Each line ends with the local moment (μB).
Atoms (fractional coordinates):
Cr: 0.250 0.750 0.500  3.35
In: 0.441 0.441 0.000  -0.01
In: 0.059 0.059 0.000  -0.01
Tl: 0.750 0.250 0.500  -0.05

=====

[18]
## K2Mg (PBE-GGA)

Data for crystalline K2Mg at its relaxed geometry.

Energy relative to the elements (meV per atom): 183
Spin magnetization (μB per cell): 0.0

Cell lengths 8.143, 6.356, 11.834 Å; angles 90.00, 90.00, 90.00 degrees
Atoms (fractional coordinates):
Mg: 0.200 0.250 0.891
K: 0.455 0.750 0.711
K: 0.183 0.250 0.566
Mg: 0.300 0.750 0.391
Mg: 0.800 0.750 0.109
K: 0.045 0.250 0.211
Mg: 0.700 0.250 0.609
K: 0.683 0.250 0.934
K: 0.817 0.750 0.434
K: 0.545 0.250 0.289
K: 0.317 0.750 0.066
K: 0.955 0.750 0.789

=====

[19]
## UAl4In (PBE-GGA)

Data for crystalline UAl4In at its relaxed geometry.

Energy relative to the elements (meV per atom): 70
Spin magnetization (μB per cell): 3.4

Cell lengths 5.526, 5.526, 5.526 Å; angles 60.00, 60.00, 60.00 degrees
Each line ends with the local moment (μB).
Atoms (fractional coordinates):
U: 0.250 0.250 0.250  2.56
In: 0.000 0.000 0.000  0.02
Al: 0.126 0.625 0.625  0.01
Al: 0.625 0.625 0.625  0.01
Al: 0.625 0.126 0.625  0.01
Al: 0.625 0.625 0.126  0.01

=====

[20]
## Pr5BiSb2 (PBE-GGA)

Data for crystalline Pr5BiSb2 at its relaxed geometry.

E_form (uncorrected) (kJ/mol of atoms): -63.14
Spin magnetization (μB per cell): 0.0

Cell lengths 7.713, 7.713, 6.643 Å; angles 120.84, 120.84, 96.72 degrees
Atoms (fractional coordinates):
Pr: 0.728 0.232 0.959
Pr: 0.232 0.728 0.959
Sb: 0.730 0.230 0.460
Pr: 0.678 0.678 0.916
Sb: 0.230 0.730 0.460
Pr: 0.769 0.769 0.539
Pr: 0.238 0.238 0.916
Bi: 0.173 0.173 0.346

=====

Final energy values, unit eV per atom, following the record order: -8.40; -5.21; -8.93; -7.49; -7.44; -8.64; -5.79; -4.64; -4.79; -7.79; -6.96; -5.89; -5.06; -4.50; -2.45; -4.47; -4.05; -1.08; -4.76; -5.16.